(1)
VASP calculation (GGA-PBE) on a relaxed FeSbSe2 crystal.

Computed properties:
E_tot	-4.518	eV/atom
DOS(E_F)	3.83	states/eV/cell
magnetic moment	3.39	Bohr magnetons per cell

Cell and atoms, written as POSCAR:
```
FeSbSe2
1.0
-3.2569 3.3700 1.3966
-1.0585 -2.6631 3.9574
2.4622 1.6473 1.7671
Se Fe Sb
2 1 1
Direct
0.5000 0.5000 0.0000
0.0000 0.0000 0.0000
0.5000 0.0000 0.5000
0.0000 0.5000 0.5000
```


(2)
VASP calculation (GGA-PBE) on a relaxed ReSi2W crystal.

Computed properties:
E_tot	-9.007	eV/atom
DOS(E_F)	2.14	states/eV/cell
energy above the most stable polymorph in this dataset	1.427	eV per formula unit
magnetic moment	0.00	Bohr magnetons per cell

Cell and atoms, written as POSCAR:
```
ReSi2W
1.0
4.3481 -0.0080 -0.0162
3.3947 2.7171 -0.0162
0.9151 0.3202 4.8448
Si W Re
2 1 1
Direct
0.0043 0.0043 0.9737
0.4957 0.4957 0.5263
0.2500 0.2500 0.2500
0.7500 0.7500 0.7500
```